The following is a PBE-GGA calculation of an optimized crystal structure of CdCo2Os, from Alexandria via LeMat-Bulk.

```
CdCo2Os
1.0
0.000 3.064 3.064
3.064 0.000 3.064
3.064 3.064 0.000
Cd Co Os
1 2 1
direct
0.000 0.000 0.000
0.500 0.500 0.500
0.750 0.750 0.750
0.250 0.250 0.250
```

Computed properties:
Energy in hartree per atom: -0.217
Formation enthalpy at 0 K in eV per atom: 0.68

***

The following is a PBE-GGA calculation of an optimized crystal structure of CdCoOs3, from Alexandria via LeMat-Bulk.

```
CdCoOs3
1.0
4.453 0.000 0.000
0.000 4.453 0.000
0.000 0.000 4.453
Cd Co Os
1 1 3
direct
0.000 0.000 0.000
0.500 0.500 0.500
0.000 0.500 0.500
0.500 0.000 0.500
0.500 0.500 0.000
```

Computed properties:
Excess energy over the best structure of this formula in the dataset in meV per atom: 0
Energy in hartree per atom: -0.242
Formation enthalpy at 0 K in eV per atom: 1.75

***

The following is a PBE-GGA calculation of an optimized crystal structure of CdCo2Os, from Alexandria via LeMat-Bulk.

```
CdCo2Os
1.0
1.412 -2.270 0.000
1.412 2.270 0.000
0.000 0.000 8.980
Cd Co Os
1 2 1
direct
0.000 0.000 0.000
0.000 0.000 0.522
0.500 0.500 0.735
0.500 0.500 0.288
```

Computed properties:
Energy in hartree per atom: -0.224
Formation enthalpy at 0 K in eV per atom: 0.49

***

The following is a PBE-GGA calculation of an optimized crystal structure of CdCo2Os, from Alexandria via LeMat-Bulk.

```
CdCo2Os
1.0
4.556 -1.348 0.000
4.556 1.348 0.000
-1.157 0.000 4.467
Cd Co Os
1 2 1
direct
0.000 0.000 0.000
0.238 0.238 0.786
0.515 0.515 0.504
0.776 0.776 0.345
```

Computed properties:
Energy in hartree per atom: -0.228
Formation enthalpy at 0 K in eV per atom: 0.40

***

The following is a PBE-GGA calculation of an optimized crystal structure of CdCo2Os, from Alexandria via LeMat-Bulk.

```
CdCo2Os
1.0
4.106 0.000 0.000
0.000 1.345 5.024
0.000 -1.345 5.024
Cd Co Os
1 2 1
direct
0.000 0.000 0.000
0.000 0.741 0.741
0.500 0.618 0.618
0.500 0.333 0.333
```

Computed properties:
Energy in hartree per atom: -0.227
Formation enthalpy at 0 K in eV per atom: 0.41

***

The following is a PBE-GGA calculation of an optimized crystal structure of CdCoOs, from Alexandria via LeMat-Bulk.

```
CdCoOs
1.0
0.000 2.321 6.915
1.426 0.000 6.915
1.426 2.321 0.000
Cd Co Os
1 1 1
direct
0.000 0.000 0.000
0.669 0.669 0.331
0.314 0.314 0.686
```

Computed properties:
Excess energy over the best structure of this formula in the dataset in meV per atom: 214
Energy in hartree per atom: -0.216
Formation enthalpy at 0 K in eV per atom: 0.54

***

The following is a PBE-GGA calculation of an optimized crystal structure of CdCo2Os, from Alexandria via LeMat-Bulk.

```
CdCo2Os
1.0
2.828 -3.613 0.000
2.828 3.613 0.000
0.000 0.000 2.682
Cd Co Os
1 2 1
direct
0.000 0.000 0.000
0.000 0.500 0.500
0.500 0.000 0.500
0.500 0.500 0.000
```

Computed properties:
Energy in hartree per atom: -0.226
Formation enthalpy at 0 K in eV per atom: 0.43

***

The following is a PBE-GGA calculation of an optimized crystal structure of CdCo2Os, from Alexandria via LeMat-Bulk.

```
CdCo2Os
1.0
2.736 0.000 0.000
0.000 2.736 0.000
0.000 0.000 7.456
Cd Co Os
1 2 1
direct
0.000 0.000 0.000
0.000 0.000 0.478
0.500 0.500 0.274
0.500 0.500 0.695
```

Computed properties:
Energy in hartree per atom: -0.228
Formation enthalpy at 0 K in eV per atom: 0.38

***

The following is a PBE-GGA calculation of an optimized crystal structure of CdCo2Os2, from Alexandria via LeMat-Bulk.

```
CdCo2Os2
1.0
-1.876 1.876 5.363
1.876 -1.876 5.363
1.876 1.876 -5.363
Cd Co Os
1 2 2
direct
0.000 0.000 0.000
0.398 0.398 0.000
0.602 0.602 0.000
0.250 0.750 0.500
0.750 0.250 0.500
```

Computed properties:
Excess energy over the best structure of this formula in the dataset in meV per atom: 123
Energy in hartree per atom: -0.256
Formation enthalpy at 0 K in eV per atom: 0.55

***

The following is a PBE-GGA calculation of an optimized crystal structure of Cd2Co2Os, from Alexandria via LeMat-Bulk.

```
Cd2Co2Os
1.0
6.071 0.000 0.000
0.000 6.071 0.000
0.000 0.000 4.299
Cd Co Os
4 4 2
direct
0.179 0.321 0.000
0.321 0.821 0.000
0.679 0.179 0.000
0.821 0.679 0.000
0.129 0.629 0.500
0.371 0.129 0.500
0.629 0.871 0.500
0.871 0.371 0.500
0.000 0.000 0.500
0.500 0.500 0.500
```

Computed properties:
Excess energy over the best structure of this formula in the dataset in meV per atom: 0
Energy in hartree per atom: -0.183
Formation enthalpy at 0 K in eV per atom: 0.48

***

The following is a PBE-GGA calculation of an optimized crystal structure of CdCo2Os, from Alexandria via LeMat-Bulk.

```
CdCo2Os
1.0
-3.414 3.414 2.709
3.414 -3.414 2.709
3.414 3.414 -2.709
Cd Co Os
2 4 2
direct
0.000 0.000 0.000
0.750 0.250 0.500
0.166 0.625 0.041
0.375 0.416 0.541
0.584 0.125 0.959
0.875 0.834 0.459
0.250 0.750 0.500
0.500 0.500 0.000
```

Computed properties:
Energy in hartree per atom: -0.211
Formation enthalpy at 0 K in eV per atom: 0.85

***

The following is a PBE-GGA calculation of an optimized crystal structure of CdCoOs, from Alexandria via LeMat-Bulk.

```
CdCoOs
1.0
-1.378 1.378 5.881
1.378 -1.378 5.881
1.378 1.378 -5.881
Cd Co Os
1 1 1
direct
0.000 0.000 0.000
0.677 0.677 0.000
0.306 0.306 0.000
```

Computed properties:
Excess energy over the best structure of this formula in the dataset in meV per atom: 0
Energy in hartree per atom: -0.224
Formation enthalpy at 0 K in eV per atom: 0.32

***

The following is a PBE-GGA calculation of an optimized crystal structure of CdCo2Os, from Alexandria via LeMat-Bulk.

```
CdCo2Os
1.0
-1.465 2.299 4.332
1.465 -2.299 4.332
1.465 2.299 -4.332
Cd Co Os
1 2 1
direct
0.000 0.000 0.000
0.268 0.768 0.500
0.732 0.232 0.500
0.500 0.500 0.000
```

Computed properties:
Energy in hartree per atom: -0.221
Formation enthalpy at 0 K in eV per atom: 0.58

***

The following is a PBE-GGA calculation of an optimized crystal structure of CdCo3Os, from Alexandria via LeMat-Bulk.

```
CdCo3Os
1.0
4.487 0.000 0.000
0.000 4.487 0.000
0.000 0.000 4.487
Cd Co Os
1 3 1
direct
0.000 0.000 0.000
0.000 0.500 0.500
0.500 0.000 0.500
0.500 0.500 0.000
0.500 0.500 0.500
```

Computed properties:
Excess energy over the best structure of this formula in the dataset in meV per atom: 0
Energy in hartree per atom: -0.198
Formation enthalpy at 0 K in eV per atom: 1.32

***

The following is a PBE-GGA calculation of an optimized crystal structure of CdCoOs, from Alexandria via LeMat-Bulk.

```
CdCoOs
1.0
0.000 2.912 2.912
2.912 0.000 2.912
2.912 2.912 0.000
Cd Co Os
1 1 1
direct
0.000 0.000 0.000
0.250 0.250 0.250
0.500 0.500 0.500
```

Computed properties:
Excess energy over the best structure of this formula in the dataset in meV per atom: 483
Energy in hartree per atom: -0.206
Formation enthalpy at 0 K in eV per atom: 0.80

***

The following is a PBE-GGA calculation of an optimized crystal structure of Cd2CoSiOs, from Alexandria via LeMat-Bulk.

```
Cd2CoSiOs
1.0
4.858 0.000 0.000
0.000 4.858 0.000
0.000 0.000 4.431
Cd Co Si Os
2 1 1 1
direct
0.000 0.500 0.000
0.500 0.000 0.000
0.000 0.000 0.500
0.500 0.500 0.000
0.500 0.500 0.500
```

Computed properties:
Energy in hartree per atom: -0.142

***

The following is a PBE-GGA calculation of an optimized crystal structure of Ta2CdCoOs, from Alexandria via LeMat-Bulk.

```
Ta2CdCoOs
1.0
4.834 0.000 0.000
0.000 4.834 0.000
0.000 0.000 4.614
Ta Cd Co Os
2 1 1 1
direct
0.000 0.500 0.000
0.500 0.000 0.000
0.000 0.000 0.500
0.500 0.500 0.500
0.500 0.500 0.000
```

Computed properties:
Energy in hartree per atom: -0.273
Formation enthalpy at 0 K in eV per atom: 1.16

***

The following is a PBE-GGA calculation of an optimized crystal structure of CdCoOsW2, from Alexandria via LeMat-Bulk.

```
CdCoOsW2
1.0
4.726 0.000 0.000
0.000 4.726 0.000
0.000 0.000 5.028
Cd Co Os W
1 1 1 2
direct
0.000 0.000 0.000
0.500 0.500 0.000
0.000 0.000 0.500
0.000 0.500 0.500
0.500 0.000 0.500
```

Computed properties:
Energy in hartree per atom: -0.253
Formation enthalpy at 0 K in eV per atom: 2.15

***

The following is a PBE-GGA calculation of an optimized crystal structure of Cd2CoOsW, from Alexandria via LeMat-Bulk.

```
Cd2CoOsW
1.0
4.668 0.000 0.000
0.000 4.668 0.000
0.000 0.000 4.408
Cd Co Os W
2 1 1 1
direct
0.000 0.500 0.000
0.500 0.000 0.000
0.000 0.000 0.000
0.500 0.500 0.500
0.000 0.000 0.500
```

Computed properties:
Energy in hartree per atom: -0.185
Formation enthalpy at 0 K in eV per atom: 1.59

***

The following is a PBE-GGA calculation of an optimized crystal structure of CdCoOs2W, from Alexandria via LeMat-Bulk.

```
CdCoOs2W
1.0
4.500 0.000 0.000
0.000 4.500 0.000
0.000 0.000 4.397
Cd Co Os W
1 1 2 1
direct
0.000 0.000 0.000
0.500 0.500 0.500
0.000 0.500 0.500
0.500 0.000 0.500
0.500 0.500 0.000
```

Computed properties:
Energy in hartree per atom: -0.261
Formation enthalpy at 0 K in eV per atom: 1.59

***

The following is a PBE-GGA calculation of an optimized crystal structure of Y2CdCoOs, from Alexandria via LeMat-Bulk.

```
Y2CdCoOs
1.0
5.199 0.000 0.000
0.000 5.199 0.000
0.000 0.000 4.408
Y Cd Co Os
2 1 1 1
direct
0.000 0.500 0.000
0.500 0.000 0.000
0.000 0.000 0.500
0.500 0.500 0.000
0.500 0.500 0.500
```

Computed properties:
Energy in hartree per atom: -0.229
Formation enthalpy at 0 K in eV per atom: 0.21

***

The following is a PBE-GGA calculation of an optimized crystal structure of CdCoP2, from Alexandria via LeMat-Bulk.

```
CdCoP2
1.0
4.108 0.000 0.000
0.000 4.108 0.000
0.000 0.000 3.599
Cd Co P
1 1 2
direct
0.000 0.000 0.000
0.500 0.500 0.000
0.000 0.500 0.500
0.500 0.000 0.500
```

Computed properties:
Energy in hartree per atom: -0.154
Formation enthalpy at 0 K in eV per atom: 0.52

***

The following is a PBE-GGA calculation of an optimized crystal structure of CdCoP2, from Alexandria via LeMat-Bulk.

```
CdCoP2
1.0
2.657 -3.473 0.000
2.657 3.473 0.000
-0.010 0.000 3.311
Cd Co P
1 1 2
direct
0.000 0.000 0.000
0.500 0.500 0.000
0.000 0.500 0.500
0.500 0.000 0.500
```

Computed properties:
Energy in hartree per atom: -0.155
Formation enthalpy at 0 K in eV per atom: 0.49

***

The following is a PBE-GGA calculation of an optimized crystal structure of CdCoP2, from Alexandria via LeMat-Bulk.

```
CdCoP2
1.0
2.974 0.000 0.000
0.000 2.974 0.000
0.000 0.000 7.081
Cd Co P
1 1 2
direct
0.000 0.000 0.000
0.500 0.500 0.289
0.000 0.000 0.424
0.500 0.500 0.619
```

Computed properties:
Energy in hartree per atom: -0.167
Formation enthalpy at 0 K in eV per atom: 0.17

***

The following is a PBE-GGA calculation of an optimized crystal structure of Cd4CoP, from Alexandria via LeMat-Bulk.

```
Cd4CoP
1.0
0.000 3.945 3.945
3.945 0.000 3.945
3.945 3.945 0.000
Cd Co P
4 1 1
direct
0.125 0.125 0.125
0.125 0.125 0.626
0.125 0.626 0.125
0.626 0.125 0.125
0.750 0.750 0.750
0.500 0.500 0.500
```

Computed properties:
Energy in hartree per atom: -0.075
Formation enthalpy at 0 K in eV per atom: 0.66

***

The following is a PBE-GGA calculation of an optimized crystal structure of CdCoP2, from Alexandria via LeMat-Bulk.

```
CdCoP2
1.0
-2.777 2.777 5.180
2.777 -2.777 5.180
2.777 2.777 -5.180
Cd Co P
2 2 4
direct
0.000 0.000 0.000
0.750 0.250 0.500
0.250 0.750 0.500
0.500 0.500 0.000
0.204 0.625 0.079
0.375 0.454 0.579
0.546 0.125 0.921
0.875 0.796 0.421
```

Computed properties:
Energy in hartree per atom: -0.172
Formation enthalpy at 0 K in eV per atom: 0.02

***

The following is a PBE-GGA calculation of an optimized crystal structure of CdCoP2, from Alexandria via LeMat-Bulk.

```
CdCoP2
1.0
-1.908 1.908 4.142
1.908 -1.908 4.142
1.908 1.908 -4.142
Cd Co P
1 1 2
direct
0.000 0.000 0.000
0.250 0.750 0.500
0.500 0.500 0.000
0.750 0.250 0.500
```

Computed properties:
Energy in hartree per atom: -0.153
Formation enthalpy at 0 K in eV per atom: 0.54

***

The following is a PBE-GGA calculation of an optimized crystal structure of CdCoP2, from Alexandria via LeMat-Bulk.

```
CdCoP2
1.0
4.628 0.000 0.000
0.000 3.583 0.000
-2.105 0.000 4.660
Cd Co P
1 1 2
direct
0.000 0.000 0.000
0.000 0.000 0.500
0.288 0.500 0.534
0.712 0.500 0.466
```

Computed properties:
Energy in hartree per atom: -0.175
Formation enthalpy at 0 K in eV per atom: -0.05

***

The following is a PBE-GGA calculation of an optimized crystal structure of CdCoP2, from Alexandria via LeMat-Bulk.

```
CdCoP2
1.0
1.545 0.892 7.378
-1.545 0.892 7.378
0.000 -1.784 7.378
Cd Co P
1 1 2
direct
0.000 0.000 0.000
0.238 0.238 0.238
0.509 0.509 0.509
0.772 0.772 0.772
```

Computed properties:
Energy in hartree per atom: -0.167
Formation enthalpy at 0 K in eV per atom: 0.17